[1]
Computed, not measured: a relaxed structure of CsNaBiRu2 at the PBE-GGA level of DFT.

Cell: 5.1192 5.1192 6.5091 Å, 90.00 90.00 90.00°
Space group P4/mmm (No. 123)
Asymmetric unit:
Cs  0.0000  0.0000  0.0000 [1 per cell]
Na  0.5000  0.5000  0.5000 [1 per cell]
Bi  0.0000  0.0000  0.5000 [1 per cell]
Ru  0.0000  0.5000  0.0000 [2 per cell]

Output
Total energy in eV/atom: -2.758



[2]
Computed, not measured: a relaxed structure of CsNaBiS3 at the PBE-GGA level of DFT.

Cell: 9.1428 4.3466 10.0376 Å, 90.00 110.92 90.00°
Space group P2_1/m (No. 11)
Asymmetric unit:
Cs  0.2484  0.2500  0.2721 [2 per cell]
Na  0.0828  0.2500  0.6056 [2 per cell]
Bi  0.3218  0.7500  0.8623 [2 per cell]
S  0.1355  0.2500  0.8861 [2 per cell]
S  0.2373  0.7500  0.5734 [2 per cell]
S  0.4806  0.7500  0.1521 [2 per cell]

Output
Raw formation energy in eV per formula unit: -3.679



[3]
Computed, not measured: a relaxed structure of CsNaBi2Se4 at the PBE-GGA level of DFT.

Cell: 4.4207 14.7641 15.7007 Å, 90.00 90.00 90.00°
Space group Cmcm (No. 63)
Asymmetric unit:
Cs  0.0000  0.1107  0.2500 [4 per cell]
Na  0.0000  0.1734  0.7500 [4 per cell]
Bi  0.0000  0.3689  0.0628 [8 per cell]
Se  0.0000  0.0000  0.0000 [4 per cell]
Se  0.0000  0.2610  0.5959 [8 per cell]
Se  0.0000  0.4295  0.2500 [4 per cell]

Output
Raw formation energy in eV per formula unit: -5.285



[4]
Computed, not measured: a relaxed structure of CsNaTlBi2 at the PBE-GGA level of DFT.

Cell: 4.8311 5.6152 14.5067 Å, 90.00 90.00 90.00°
Space group Imm2 (No. 44)
Asymmetric unit:
Cs  0.0000  0.0000  0.0000 [2 per cell]
Na  0.0000  0.5000  0.7296 [2 per cell]
Tl  0.0000  0.0000  0.3829 [2 per cell]
Bi  0.0000  0.0000  0.6127 [2 per cell]
Bi  0.0000  0.5000  0.2550 [2 per cell]

Output
Total energy in eV/atom: -2.685



[5]
Computed, not measured: a relaxed structure of CsNa2TlBi at the PBE-GGA level of DFT.

Cell: 6.0824 6.0824 6.5387 Å, 90.00 90.00 90.00°
Space group P4/mmm (No. 123)
Asymmetric unit:
Cs  0.0000  0.0000  0.0000 [1 per cell]
Na  0.0000  0.5000  0.5000 [2 per cell]
Tl  0.5000  0.5000  0.0000 [1 per cell]
Bi  0.5000  0.5000  0.5000 [1 per cell]

Output
Total energy in eV/atom: -2.038



[6]
Computed, not measured: a relaxed structure of CsNaTlBi at the PBE-GGA level of DFT.

Cell: 5.3775 5.3775 20.7791 Å, 90.00 90.00 120.00°
Space group R3m (No. 160, hexagonal axes)
Asymmetric unit:
Cs  0.0000  0.0000  0.0000 [3 per cell]
Na  0.0000  0.0000  0.5225 [3 per cell]
Tl  0.0000  0.0000  0.7913 [3 per cell]
Bi  0.0000  0.0000  0.2016 [3 per cell]

Output
Energy above the lowest structure with this stoichiometry in meV per atom: 0.0



[7]
Computed, not measured: a relaxed structure of Cs2NaTl4Bi3 at the PBE-GGA level of DFT.

Cell: 5.3490 5.3490 14.1101 Å, 90.00 90.00 90.00°
Space group P-4m2 (No. 115)
Asymmetric unit:
Cs  0.0000  0.5000  0.2369 [2 per cell]
Na  0.0000  0.0000  0.5000 [1 per cell]
Tl  0.0000  0.0000  0.0000 [1 per cell]
Tl  0.0000  0.5000  0.6351 [2 per cell]
Tl  0.5000  0.5000  0.0000 [1 per cell]
Bi  0.0000  0.5000  0.8719 [2 per cell]
Bi  0.5000  0.5000  0.5000 [1 per cell]

Output
Total energy in eV/atom: -2.605



[8]
Computed, not measured: a relaxed structure of CsNaTl2Bi2 at the PBE-GGA level of DFT.

Cell: 5.4622 5.4622 8.9807 Å, 90.00 90.00 120.00°
Space group P-3m1 (No. 164)
Asymmetric unit:
Cs  0.0000  0.0000  0.0000 [1 per cell]
Na  0.0000  0.0000  0.5000 [1 per cell]
Tl  0.3333  0.6667  0.6365 [2 per cell]
Bi  0.3333  0.6667  0.2815 [2 per cell]

Output
Total energy in eV/atom: -2.700